The following is a GGA-PBE calculation of a geometry-optimized TbPr3H structure, from Alexandria via LeMat-Bulk.

Computed properties:
Final energy: -4.630 eV/atom
D(E_F): 5.19 states/eV/f.u.
Magnetization: 0.00 μB per atom

Cell lengths 5.1897, 5.1897, 5.1897 Å; angles 90.00, 90.00, 90.00 degrees
With the nearest neighbours (Å) after each atom.
Space group Pm-3m (No. 221)
One atom of each set of equivalent atoms:
Tb  0.0000  0.0000  0.0000 (multiplicity 1)  12 Pr 3.67
Pr  0.0000  0.5000  0.5000 (multiplicity 3)  2 H 2.59
H  0.5000  0.5000  0.5000 (multiplicity 1)  6 Pr 2.59

The following is a GGA-PBE calculation of a geometry-optimized Si2RhAu structure, from Alexandria via LeMat-Bulk.

Computed properties:
Final energy: -5.480 eV/atom
D(E_F): 2.24 states/eV/f.u.
E_form (uncorrected): -0.11 eV/atom
Magnetization: 0.00 μB per atom

Cell lengths 4.3095, 3.0627, 4.9503 Å; angles 90.00, 113.73, 90.00 degrees
With the nearest neighbours (Å) after each atom.
Space group P2/m (No. 10)
One atom of each set of equivalent atoms:
Si  0.0000  0.0000  0.0000 (multiplicity 1)  2 Rh 2.54, 4 Au 2.64
Si  0.0000  0.5000  0.5000 (multiplicity 1)  2 Au 2.54, 4 Rh 2.64
Rh  0.5000  0.0000  0.5000 (multiplicity 1)  6 Si 2.54-2.64
Au  0.5000  0.5000  0.0000 (multiplicity 1)  6 Si 2.54-2.64

Number 1 is which compound? TbPr3H